Entry 1:
DFT (GGA-PBEsol) results for Ca2ZrBr after structural relaxation.

```
data_Ca2ZrBr
_cell_length_a 3.4032
_cell_length_b 3.4032
_cell_length_c 9.4695
_cell_angle_alpha 90.00
_cell_angle_beta 90.00
_cell_angle_gamma 90.00
_space_group_name_H-M_alt 'P 1'
_space_group_IT_number 1
loop_
_space_group_symop_operation_xyz
'x,y,z'
loop_
_atom_site_label
_atom_site_fract_x
_atom_site_fract_y
_atom_site_fract_z
Ca1 0.0000 0.0000 0.0000
Ca2 0.5000 0.5000 0.3227
Zr1 0.0000 0.0000 0.5902
Br1 0.5000 0.5000 0.7694
```

Output
As for the energy above the lowest structure with this stoichiometry: 1.39 kJ/mol of atoms. As for the crystal system: tetragonal. Its mass density is 3.8 Mg/m³. Its space group is P4mm (99).

---

Entry 2:
DFT (GGA-PBEsol) results for CaTaMo2 after structural relaxation.

```
data_CaTaMo2
_cell_length_a 4.6362
_cell_length_b 4.6362
_cell_length_c 4.6362
_cell_angle_alpha 60.00
_cell_angle_beta 60.00
_cell_angle_gamma 60.00
_space_group_name_H-M_alt 'P 1'
_space_group_IT_number 1
loop_
_space_group_symop_operation_xyz
'x,y,z'
loop_
_atom_site_label
_atom_site_fract_x
_atom_site_fract_y
_atom_site_fract_z
Ca1 0.0000 0.0000 0.0000
Ta1 0.2500 0.2500 0.2500
Mo1 0.5000 0.5000 0.5000
Mo2 0.7500 0.7500 0.7500
```

Output
The energy relative to the elements comes out at 0.742 eV/atom. As for the energy above the lowest structure with this stoichiometry: 19.94 kJ/mol of atoms. As for the crystal system: cubic. Its mass density is 9.7 Mg/m³. Its space group is F-43m (216).

---

Among the records above, which one has the highest mass density? CaTaMo2

---

Look up the mass density of the second one. 9.7 Mg/m³

---

The highest energy above the lowest structure with this stoichiometry belongs to which entry? CaTaMo2